Run w
Density functional theory data (GGA-PBE) for an optimized crystal structure of ScGaPO2.

Unit cell a=3.946 b=3.946 c=5.657 alpha=90.00 beta=90.00 gamma=90.00
Element x y z (fractional)
Sc1 0.000 0.000 0.000
Ga1 0.500 0.500 0.500
P1 0.000 0.000 0.500
O1 0.000 0.500 0.000
O2 0.500 0.000 0.000

**DOS(E_F)**: 2.933 states/eV per cell
**Spin magnetization**: 1.07 μB per formula unit
**Calculated volume**: 17.6 Å³ per atom

=====

Run x
Density functional theory data (GGA-PBE) for an optimized crystal structure of ScGaPO2.

Unit cell a=3.793 b=3.793 c=5.039 alpha=90.00 beta=90.00 gamma=90.00
Element x y z (fractional)
Sc1 0.000 0.000 0.000
Ga1 0.500 0.500 0.500
P1 0.500 0.500 0.000
O1 0.000 0.500 0.500
O2 0.500 0.000 0.500

**DOS(E_F)**: 2.319 states/eV per cell
**Spin magnetization**: 0.77 μB per formula unit
**Calculated volume**: 14.5 Å³ per atom

=====

Which one sits at the top of the stability order? run w does.